[1]
First-principles (GGA-PBE) data for a geometry-optimized TbMg2Tl4 structure, as listed in Alexandria.

POSCAR file:
```
TbMg2Tl4
1.0
6.9601 0.0000 0.0000
0.0000 6.9601 0.0000
0.0000 0.0000 8.1195
Tb Mg Tl
2 4 8
direct
0.0000 0.0000 0.0000 Tb
0.5000 0.5000 0.5000 Tb
0.0000 0.5000 0.0000 Mg
0.0000 0.5000 0.5000 Mg
0.5000 0.0000 0.0000 Mg
0.5000 0.0000 0.5000 Mg
0.2500 0.2500 0.2500 Tl
0.2500 0.2500 0.7500 Tl
0.2500 0.7500 0.2500 Tl
0.2500 0.7500 0.7500 Tl
0.7500 0.2500 0.2500 Tl
0.7500 0.2500 0.7500 Tl
0.7500 0.7500 0.2500 Tl
0.7500 0.7500 0.7500 Tl
```

Properties
formation enthalpy at 0 K = -10.4 kJ/mol of atoms
crystal system = tetragonal

---

[2]
First-principles (GGA-PBE) data for a geometry-optimized FeS structure, as listed in Alexandria.

POSCAR file:
```
FeS
1.0
9.4308 0.0000 0.0000
0.0000 9.4308 0.0000
0.0000 0.0000 3.6263
Fe S
8 8
direct
0.0587 0.6214 0.0000 Fe
0.1129 0.2932 0.5000 Fe
0.2932 0.8871 0.5000 Fe
0.3786 0.0587 0.0000 Fe
0.6214 0.9413 0.0000 Fe
0.7068 0.1129 0.5000 Fe
0.8871 0.7068 0.5000 Fe
0.9413 0.3786 0.0000 Fe
0.1199 0.7354 0.5000 S
0.1681 0.4178 0.0000 S
0.2646 0.1199 0.5000 S
0.4178 0.8319 0.0000 S
0.5822 0.1681 0.0000 S
0.7354 0.8801 0.5000 S
0.8319 0.5822 0.0000 S
0.8801 0.2646 0.5000 S
```

Properties
crystal system = tetragonal
raw formation energy = -0.35 eV/atom

---

[3]
First-principles (GGA-PBE) data for a geometry-optimized KCo2Si structure, as listed in Alexandria.

POSCAR file:
```
KCo2Si
1.0
2.8520 0.0000 0.0000
-1.4260 2.4699 0.0000
0.0000 0.0000 27.5882
K Co Si
3 6 3
direct
0.0000 0.0000 0.0000 K
0.3333 0.6667 0.6667 K
0.6667 0.3333 0.3333 K
0.0000 0.0000 0.5014 Co
0.0000 0.0000 0.7703 Co
0.3333 0.6667 0.1681 Co
0.3333 0.6667 0.4369 Co
0.6667 0.3333 0.1036 Co
0.6667 0.3333 0.8347 Co
0.0000 0.0000 0.2305 Si
0.3333 0.6667 0.8972 Si
0.6667 0.3333 0.5639 Si
```

Properties
crystal system = trigonal
raw formation energy = 0.57 eV/atom

---

[4]
First-principles (GGA-PBE) data for a geometry-optimized LaDy10Y4 structure, as listed in Alexandria.

POSCAR file:
```
LaDy10Y4
1.0
-4.8990 4.8990 5.3786
4.8990 -4.8990 5.3786
4.8990 4.8990 -5.3786
La Dy Y
1 10 4
direct
0.0000 0.0000 0.0000 La
0.0484 0.3893 0.0982 Dy
0.0498 0.9516 0.3409 Dy
0.2500 0.7500 0.5000 Dy
0.2911 0.9502 0.9018 Dy
0.3893 0.2911 0.3409 Dy
0.6107 0.7089 0.6591 Dy
0.7089 0.0498 0.0982 Dy
0.7500 0.2500 0.5000 Dy
0.9502 0.0484 0.6591 Dy
0.9516 0.6107 0.9018 Dy
0.2127 0.4457 0.6584 Y
0.4457 0.7873 0.2330 Y
0.5543 0.2127 0.7670 Y
0.7873 0.5543 0.3416 Y
```

Properties
formation enthalpy at 0 K = 44.8 kJ/mol of atoms
crystal system = tetragonal

---

[5]
First-principles (GGA-PBE) data for a geometry-optimized Ag2Ge2Pb structure, as listed in Alexandria.

POSCAR file:
```
Ag2Ge2Pb
1.0
4.3503 0.0000 0.0000
0.0000 4.3503 0.0000
0.0000 0.0000 11.5629
Ag Ge Pb
4 4 2
direct
0.0000 0.5000 0.2500 Ag
0.0000 0.5000 0.7500 Ag
0.5000 0.0000 0.2500 Ag
0.5000 0.0000 0.7500 Ag
0.0000 0.0000 0.1087 Ge
0.0000 0.0000 0.8913 Ge
0.5000 0.5000 0.3913 Ge
0.5000 0.5000 0.6087 Ge
0.0000 0.0000 0.5000 Pb
0.5000 0.5000 0.0000 Pb
```

Properties
formation enthalpy at 0 K = 13.8 kJ/mol of atoms
crystal system = tetragonal
excess energy over the best structure of this formula in the dataset = 0.000 eV/atom

---

[6]
First-principles (GGA-PBE) data for a geometry-optimized CuNiSe2 structure, as listed in Alexandria.

POSCAR file:
```
CuNiSe2
1.0
3.6420 0.0000 0.0000
1.6849 5.9508 0.0000
0.0402 1.4868 6.3776
Cu Ni Se
2 2 4
direct
0.0000 0.0000 0.0000 Cu
0.1143 0.1533 0.3418 Cu
0.2193 0.5540 0.1705 Ni
0.6909 0.6390 0.6193 Ni
0.0776 0.8888 0.6707 Se
0.2908 0.3992 0.5485 Se
0.5862 0.8062 0.2378 Se
0.7885 0.4070 0.9987 Se
```

Properties
crystal system = triclinic
raw formation energy = -0.16 eV/atom

---

[7]
First-principles (GGA-PBE) data for a geometry-optimized Cd2InHg structure, as listed in Alexandria.

POSCAR file:
```
Cd2InHg
1.0
3.3555 0.0000 0.0000
0.2229 5.6963 0.0000
1.5127 1.9919 5.1776
Cd In Hg
2 1 1
direct
0.0000 0.0000 0.0000 Cd
0.2613 0.6535 0.4713 Cd
0.7382 0.1513 0.4917 In
0.5245 0.5094 0.9716 Hg
```

Properties
formation enthalpy at 0 K = 2.8 kJ/mol of atoms
crystal system = triclinic
excess energy over the best structure of this formula in the dataset = 0.010 eV/atom

---

[8]
First-principles (GGA-PBE) data for a geometry-optimized Al2GeO4F2 structure, as listed in Alexandria.

POSCAR file:
```
Al2GeO4F2
1.0
9.0882 0.0000 0.0000
0.0000 8.6374 0.0000
0.0000 0.0000 4.8185
Al Ge O F
8 4 16 8
direct
0.1309 0.0823 0.0940 Al
0.1309 0.4177 0.0940 Al
0.3691 0.5823 0.5940 Al
0.3691 0.9177 0.5940 Al
0.6309 0.0823 0.4060 Al
0.6309 0.4177 0.4060 Al
0.8691 0.5823 0.9060 Al
0.8691 0.9177 0.9060 Al
0.0605 0.7500 0.3989 Ge
0.4395 0.2500 0.8989 Ge
0.5605 0.7500 0.1011 Ge
0.9395 0.2500 0.6011 Ge
0.0094 0.5843 0.2035 O
0.0094 0.9157 0.2035 O
0.0355 0.2500 0.2814 O
0.2460 0.2500 0.9591 O
0.2540 0.7500 0.4591 O
0.4645 0.7500 0.7814 O
0.4906 0.0843 0.7035 O
0.4906 0.4157 0.7035 O
0.5094 0.5843 0.2965 O
0.5094 0.9157 0.2965 O
0.5355 0.2500 0.2186 O
0.7460 0.2500 0.5409 O
0.7540 0.7500 0.0409 O
0.9645 0.7500 0.7186 O
0.9906 0.0843 0.7965 O
0.9906 0.4157 0.7965 O
0.2492 0.5519 0.8953 F
0.2492 0.9481 0.8953 F
0.2508 0.0519 0.3953 F
0.2508 0.4481 0.3953 F
0.7492 0.5519 0.6047 F
0.7492 0.9481 0.6047 F
0.7508 0.0519 0.1047 F
0.7508 0.4481 0.1047 F
```

Properties
crystal system = orthorhombic
raw formation energy = -2.77 eV/atom

---

[9]
First-principles (GGA-PBE) data for a geometry-optimized Nb2FeB structure, as listed in Alexandria.

POSCAR file:
```
Nb2FeB
1.0
6.6036 0.0000 0.0000
0.0000 6.6036 0.0000
0.0000 0.0000 5.2766
Nb Fe B
8 4 4
direct
0.2176 0.2500 0.1250 Nb
0.2500 0.7176 0.3750 Nb
0.2500 0.7824 0.8750 Nb
0.2824 0.2500 0.6250 Nb
0.7176 0.7500 0.6250 Nb
0.7500 0.2176 0.8750 Nb
0.7500 0.2824 0.3750 Nb
0.7824 0.7500 0.1250 Nb
0.0000 0.0000 0.5000 Fe
0.0000 0.5000 0.7500 Fe
0.5000 0.0000 0.2500 Fe
0.5000 0.5000 0.0000 Fe
0.0000 0.0000 0.0000 B
0.0000 0.5000 0.2500 B
0.5000 0.0000 0.7500 B
0.5000 0.5000 0.5000 B
```

Properties
formation enthalpy at 0 K = 35.4 kJ/mol of atoms
crystal system = tetragonal

---

[10]
First-principles (GGA-PBE) data for a geometry-optimized Y2W structure, as listed in Alexandria.

POSCAR file:
```
Y2W
1.0
5.1007 0.0000 0.0000
-2.5503 4.4173 0.0000
0.0000 0.0000 6.5259
Y W
4 2
direct
0.0000 0.0000 0.0000 Y
0.0000 0.0000 0.5000 Y
0.3333 0.6667 0.2500 Y
0.6667 0.3333 0.7500 Y
0.3333 0.6667 0.7500 W
0.6667 0.3333 0.2500 W
```

Properties
formation enthalpy at 0 K = 53.2 kJ/mol of atoms
crystal system = hexagonal
excess energy over the best structure of this formula in the dataset = 0.305 eV/atom

---

[11]
First-principles (GGA-PBE) data for a geometry-optimized LaTaRh structure, as listed in Alexandria.

POSCAR file:
```
LaTaRh
1.0
6.4776 0.0000 0.0000
0.0000 6.4776 0.0000
0.0000 0.0000 6.4776
La Ta Rh
4 4 4
direct
0.0000 0.0000 0.0000 La
0.0000 0.5000 0.5000 La
0.5000 0.0000 0.5000 La
0.5000 0.5000 0.0000 La
0.2500 0.2500 0.7500 Ta
0.2500 0.7500 0.2500 Ta
0.7500 0.2500 0.2500 Ta
0.7500 0.7500 0.7500 Ta
0.2500 0.2500 0.2500 Rh
0.2500 0.7500 0.7500 Rh
0.7500 0.2500 0.7500 Rh
0.7500 0.7500 0.2500 Rh
```

Properties
formation enthalpy at 0 K = 100.5 kJ/mol of atoms
crystal system = cubic
excess energy over the best structure of this formula in the dataset = 1.231 eV/atom

---

[12]
First-principles (GGA-PBE) data for a geometry-optimized Zn2AsAu structure, as listed in Alexandria.

POSCAR file:
```
Zn2AsAu
1.0
4.0220 0.0000 0.0000
-2.0110 3.4832 0.0000
0.0000 0.0000 16.2561
Zn As Au
6 3 3
direct
0.0000 0.0000 0.0000 Zn
0.0000 0.0000 0.1750 Zn
0.3333 0.6667 0.6667 Zn
0.3333 0.6667 0.8416 Zn
0.6667 0.3333 0.3333 Zn
0.6667 0.3333 0.5083 Zn
0.0000 0.0000 0.5834 As
0.3333 0.6667 0.2501 As
0.6667 0.3333 0.9168 As
0.0000 0.0000 0.7521 Au
0.3333 0.6667 0.4187 Au
0.6667 0.3333 0.0854 Au
```

Properties
formation enthalpy at 0 K = -1.2 kJ/mol of atoms
crystal system = trigonal

---

| no. | DFT total energy (eV/cell) |
| --- | --- |
| 1 | -36.1 |
| 2 | -106.4 |
| 3 | -55.3 |
| 4 | -69.8 |
| 5 | -35.9 |
| 6 | -35.0 |
| 7 | -4.8 |
| 8 | -242.4 |
| 9 | -135.2 |
| 10 | -48.5 |
| 11 | -84.0 |
| 12 | -31.6 |